1.
MgCrOs2: relaxed, GGA-PBE. Values from VASP.

The structure in Quantum ESPRESSO input format:
```
&SYSTEM
  ibrav = 0, nat = 4, ntyp = 3
/
ATOMIC_SPECIES
Mg 24.30 Mg.upf
Os 190.23 Os.upf
Cr 52.00 Cr.upf
CELL_PARAMETERS angstrom
-5.191 -6.773 2.689
-5.342 -7.177 -0.026
-3.239 -8.221 1.404
ATOMIC_POSITIONS crystal
Mg 0.750 0.750 0.750
Os 0.507 0.507 0.507
Os 0.993 0.993 0.993
Cr 0.250 0.250 0.250
```

Electronic total energy (Ry/atom): -0.6075
DFT formation energy (eV per atom): 0.15
Calculated density (g/cm³): 13.16
Total magnetization (μB per cell): 0.2

---

2.
Y2Th3Sc8: relaxed, GGA-PBE. Values from VASP.

The structure in Quantum ESPRESSO input format:
```
&SYSTEM
  ibrav = 0, nat = 13, ntyp = 3
/
ATOMIC_SPECIES
Sc 44.96 Sc.upf
Y 88.91 Y.upf
Th 232.04 Th.upf
CELL_PARAMETERS angstrom
-1.527 -5.057 -2.184
8.110 -4.772 5.379
-6.954 3.611 2.769
ATOMIC_POSITIONS crystal
Sc 0.684 0.922 0.351
Sc 0.934 0.837 0.675
Sc 0.684 0.429 0.351
Sc 0.316 0.571 0.649
Sc 0.766 0.567 0.135
Sc 0.316 0.078 0.649
Sc 0.234 0.433 0.865
Sc 0.066 0.163 0.325
Y 0.338 0.701 0.401
Y 0.662 0.299 0.599
Th 0.000 0.242 0.000
Th 0.000 0.758 0.000
Th 0.500 0.000 0.000
```

Electronic total energy (Ry/atom): -0.4722
DFT formation energy (eV per atom): 0.18
Calculated density (g/cm³): 5.67
Total magnetization (μB per cell): 0.0

---

3.
Cr4ReNi: relaxed, GGA-PBE. Values from VASP.

The structure in Quantum ESPRESSO input format:
```
&SYSTEM
  ibrav = 0, nat = 6, ntyp = 3
/
ATOMIC_SPECIES
Cr 52.00 Cr.upf
Ni 58.69 Ni.upf
Re 186.21 Re.upf
CELL_PARAMETERS angstrom
-0.321 -1.463 4.448
-2.768 2.282 3.027
-3.958 -2.005 1.531
ATOMIC_POSITIONS crystal
Cr 0.376 0.873 0.376
Cr 0.376 0.376 0.376
Cr 0.376 0.376 0.873
Cr 0.873 0.376 0.376
Ni 0.750 0.750 0.750
Re 0.000 0.000 0.000
```

Electronic total energy (Ry/atom): -0.6882
DFT formation energy (eV per atom): 0.09
Calculated density (g/cm³): 10.29
Total magnetization (μB per cell): 0.0

---

4.
Ac3Ga8Sn3: relaxed, GGA-PBE. Values from VASP.

The structure in Quantum ESPRESSO input format:
```
&SYSTEM
  ibrav = 0, nat = 14, ntyp = 3
/
ATOMIC_SPECIES
Ga 69.72 Ga.upf
Ac 227.00 Ac.upf
Sn 118.71 Sn.upf
CELL_PARAMETERS angstrom
-2.421 -3.746 -1.305
1.240 -6.047 6.786
-7.025 -0.393 5.886
ATOMIC_POSITIONS crystal
Ga 0.346 0.915 0.394
Ga 0.346 0.394 0.915
Ga 0.827 0.804 0.542
Ga 0.173 0.196 0.458
Ga 0.654 0.085 0.606
Ga 0.654 0.606 0.085
Ga 0.173 0.458 0.196
Ga 0.827 0.542 0.804
Ac 0.817 0.183 0.183
Ac 0.183 0.817 0.817
Ac 0.500 0.500 0.500
Sn 0.000 0.768 0.232
Sn 0.500 0.000 0.000
Sn 0.000 0.232 0.768
```

Electronic total energy (Ry/atom): -0.2872
DFT formation energy (eV per atom): -0.44
Calculated density (g/cm³): 7.75
Total magnetization (μB per cell): 0.0

---

5.
Pm3Er2Rh2: relaxed, GGA-PBE. Values from VASP.

The structure in Quantum ESPRESSO input format:
```
&SYSTEM
  ibrav = 0, nat = 7, ntyp = 3
/
ATOMIC_SPECIES
Pm 145.00 Pm.upf
Rh 102.91 Rh.upf
Er 167.26 Er.upf
CELL_PARAMETERS angstrom
-0.382 -3.703 -1.065
6.236 1.246 0.469
-3.949 -1.837 7.800
ATOMIC_POSITIONS crystal
Pm 0.500 0.000 0.000
Pm 0.387 0.773 0.572
Pm 0.613 0.227 0.428
Rh 0.185 0.370 0.239
Rh 0.815 0.630 0.761
Er 0.170 0.340 0.813
Er 0.830 0.660 0.187
```

Electronic total energy (Ry/atom): -0.4379
DFT formation energy (eV per atom): -0.52
Calculated density (g/cm³): 8.53
Total magnetization (μB per cell): 0.0

---

6.
KMgMnV2: relaxed, GGA-PBE. Values from VASP.

The structure in Quantum ESPRESSO input format:
```
&SYSTEM
  ibrav = 0, nat = 5, ntyp = 4
/
ATOMIC_SPECIES
K 39.10 K.upf
V 50.94 V.upf
Mn 54.94 Mn.upf
Mg 24.30 Mg.upf
CELL_PARAMETERS angstrom
-3.977 -1.525 -0.958
1.761 -3.043 -2.466
0.197 -2.676 3.443
ATOMIC_POSITIONS crystal
K 0.000 0.000 0.000
V 0.500 0.000 0.000
V 0.000 0.000 0.500
Mn 0.000 0.500 0.000
Mg 0.500 0.500 0.500
```

Electronic total energy (Ry/atom): -0.2633
DFT formation energy (eV per atom): 2.44
Calculated density (g/cm³): 4.47
Total magnetization (μB per cell): 0.0

---

7.
MnIn3Se: relaxed, GGA-PBE. Values from VASP.

The structure in Quantum ESPRESSO input format:
```
&SYSTEM
  ibrav = 0, nat = 5, ntyp = 3
/
ATOMIC_SPECIES
In 114.82 In.upf
Mn 54.94 Mn.upf
Se 78.96 Se.upf
CELL_PARAMETERS angstrom
5.487 0.000 0.000
0.000 5.487 0.000
0.000 0.000 5.487
ATOMIC_POSITIONS crystal
In 0.000 0.500 0.000
In 0.000 0.000 0.500
In 0.500 0.000 0.000
Mn 0.500 0.500 0.500
Se 0.000 0.000 0.000
```

Electronic total energy (Ry/atom): -0.2549
Calculated density (g/cm³): 4.81
Distance to the lowest polymorph of the same formula (eV/atom): 0.440
Total magnetization (μB per cell): 4.4

---

8.
Cr2CdRu: relaxed, GGA-PBE. Values from VASP.

The structure in Quantum ESPRESSO input format:
```
&SYSTEM
  ibrav = 0, nat = 4, ntyp = 3
/
ATOMIC_SPECIES
Cr 52.00 Cr.upf
Cd 112.41 Cd.upf
Ru 101.07 Ru.upf
CELL_PARAMETERS angstrom
-4.870 -7.788 -0.241
-3.036 -8.520 1.618
-5.256 -7.155 2.368
ATOMIC_POSITIONS crystal
Cr 0.993 0.993 0.993
Cr 0.507 0.507 0.507
Cd 0.750 0.750 0.750
Ru 0.250 0.250 0.250
```

Electronic total energy (Ry/atom): -0.5079
DFT formation energy (eV per atom): 0.45
Calculated density (g/cm³): 9.14
Total magnetization (μB per cell): 0.0

---

9.
CsNa2HgPb: relaxed, GGA-PBE. Values from VASP.

The structure in Quantum ESPRESSO input format:
```
&SYSTEM
  ibrav = 0, nat = 5, ntyp = 4
/
ATOMIC_SPECIES
Pb 207.20 Pb.upf
Cs 132.91 Cs.upf
Hg 200.59 Hg.upf
Na 22.99 Na.upf
CELL_PARAMETERS angstrom
-4.595 -3.670 -1.448
-0.276 -1.918 5.738
-4.026 4.521 1.317
ATOMIC_POSITIONS crystal
Pb 0.000 0.000 0.000
Cs 0.500 0.500 0.500
Hg 0.000 0.000 0.500
Na 0.000 0.500 0.000
Na 0.500 0.000 0.000
```

Electronic total energy (Ry/atom): -0.1179
DFT formation energy (eV per atom): -0.10
Calculated density (g/cm³): 4.29
Distance to the lowest polymorph of the same formula (eV/atom): 0.000
Total magnetization (μB per cell): 0.0

---

10.
CePmAsAu: relaxed, GGA-PBE. Values from VASP.

The structure in Quantum ESPRESSO input format:
```
&SYSTEM
  ibrav = 0, nat = 4, ntyp = 4
/
ATOMIC_SPECIES
Ce 140.12 Ce.upf
Pm 145.00 Pm.upf
As 74.92 As.upf
Au 196.97 Au.upf
CELL_PARAMETERS angstrom
-3.436 3.896 -0.224
-4.460 -0.311 2.655
-0.769 3.031 4.154
ATOMIC_POSITIONS crystal
Ce 0.000 0.000 0.000
Pm 0.500 0.500 0.500
As 0.250 0.250 0.250
Au 0.750 0.750 0.750
```

Electronic total energy (Ry/atom): -0.4038
DFT formation energy (eV per atom): -0.84
Calculated density (g/cm³): 9.30
Total magnetization (μB per cell): 2.2

---

11.
LiSm2PdO6: relaxed, GGA-PBE. Values from VASP.

The structure in Quantum ESPRESSO input format:
```
&SYSTEM
  ibrav = 0, nat = 20, ntyp = 4
/
ATOMIC_SPECIES
O 16.00 O.upf
Pd 106.42 Pd.upf
Sm 150.36 Sm.upf
Li 6.94 Li.upf
CELL_PARAMETERS angstrom
5.393 0.000 0.009
0.000 5.840 0.000
0.060 0.000 7.639
ATOMIC_POSITIONS crystal
O 0.307 0.685 0.053
O 0.107 0.467 0.751
O 0.807 0.815 0.553
O 0.393 0.967 0.749
O 0.823 0.796 0.946
O 0.607 0.033 0.251
O 0.893 0.533 0.249
O 0.677 0.296 0.554
O 0.693 0.315 0.947
O 0.323 0.704 0.446
O 0.177 0.204 0.054
O 0.193 0.185 0.447
Pd 0.500 0.000 0.500
Pd 0.000 0.500 0.000
Sm 0.521 0.581 0.751
Sm 0.979 0.081 0.749
Sm 0.021 0.919 0.251
Sm 0.479 0.419 0.249
Li 0.000 0.500 0.500
Li 0.500 0.000 0.000
```

Electronic total energy (Ry/atom): -0.4974
Calculated density (g/cm³): 7.04
Total magnetization (μB per cell): 0.1

---

12.
MgAlTc2Ni: relaxed, GGA-PBE. Values from VASP.

The structure in Quantum ESPRESSO input format:
```
&SYSTEM
  ibrav = 0, nat = 5, ntyp = 4
/
ATOMIC_SPECIES
Tc 98.00 Tc.upf
Mg 24.30 Mg.upf
Al 26.98 Al.upf
Ni 58.69 Ni.upf
CELL_PARAMETERS angstrom
-3.550 -0.328 2.712
2.247 -2.938 2.586
1.578 3.384 2.474
ATOMIC_POSITIONS crystal
Tc 0.000 0.000 0.500
Tc 0.500 0.000 0.000
Mg 0.000 0.000 0.000
Al 0.000 0.500 0.000
Ni 0.500 0.500 0.500
```

Electronic total energy (Ry/atom): -0.3266
DFT formation energy (eV per atom): 1.93
Calculated density (g/cm³): 5.61
Total magnetization (μB per cell): 0.0

---

13.
TbZrPb2: relaxed, GGA-PBE. Values from VASP.

The structure in Quantum ESPRESSO input format:
```
&SYSTEM
  ibrav = 0, nat = 4, ntyp = 3
/
ATOMIC_SPECIES
Pb 207.20 Pb.upf
Zr 91.22 Zr.upf
Tb 158.93 Tb.upf
CELL_PARAMETERS angstrom
-2.201 3.298 -0.169
-0.346 -0.028 3.953
5.523 3.713 0.510
ATOMIC_POSITIONS crystal
Pb 0.000 0.000 0.766
Pb 0.000 0.000 0.234
Zr 0.500 0.500 0.000
Tb 0.500 0.500 0.500
```

Electronic total energy (Ry/atom): -0.3954
DFT formation energy (eV per atom): -0.23
Calculated density (g/cm³): 10.50
Total magnetization (μB per cell): 0.0

---

14.
Ni2Sb2Au: relaxed, GGA-PBE. Values from VASP.

The structure in Quantum ESPRESSO input format:
```
&SYSTEM
  ibrav = 0, nat = 10, ntyp = 3
/
ATOMIC_SPECIES
Sb 121.76 Sb.upf
Ni 58.69 Ni.upf
Au 196.97 Au.upf
CELL_PARAMETERS angstrom
-6.522 3.652 -1.610
-3.949 -5.459 3.616
0.235 1.591 2.658
ATOMIC_POSITIONS crystal
Sb 0.670 0.170 0.000
Sb 0.170 0.330 0.000
Sb 0.330 0.830 0.000
Sb 0.830 0.670 0.000
Ni 0.120 0.620 0.500
Ni 0.620 0.880 0.500
Ni 0.880 0.380 0.500
Ni 0.380 0.120 0.500
Au 0.500 0.500 0.000
Au 0.000 0.000 0.000
```

Electronic total energy (Ry/atom): -0.3311
Calculated density (g/cm³): 10.20
Distance to the lowest polymorph of the same formula (eV/atom): 0.142
Total magnetization (μB per cell): 0.0

---

15.
MgCu2Se2: relaxed, GGA-PBE. Values from VASP.

The structure in Quantum ESPRESSO input format:
```
&SYSTEM
  ibrav = 0, nat = 10, ntyp = 3
/
ATOMIC_SPECIES
Se 78.96 Se.upf
Mg 24.30 Mg.upf
Cu 63.55 Cu.upf
CELL_PARAMETERS angstrom
5.052 0.000 0.000
0.000 5.052 0.000
0.000 0.000 7.475
ATOMIC_POSITIONS crystal
Se 0.500 0.500 0.000
Se 0.500 0.000 0.514
Se 0.000 0.500 0.486
Se 0.000 0.000 0.000
Mg 0.000 0.500 0.830
Mg 0.500 0.000 0.170
Cu 0.000 0.500 0.167
Cu 0.500 0.000 0.833
Cu 0.500 0.500 0.500
Cu 0.000 0.000 0.500
```

Electronic total energy (Ry/atom): -0.2636
Calculated density (g/cm³): 5.38
Distance to the lowest polymorph of the same formula (eV/atom): 0.274
Total magnetization (μB per cell): 0.0

---

16.
YHg2Ir: relaxed, GGA-PBE. Values from VASP.

The structure in Quantum ESPRESSO input format:
```
&SYSTEM
  ibrav = 0, nat = 4, ntyp = 3
/
ATOMIC_SPECIES
Hg 200.59 Hg.upf
Y 88.91 Y.upf
Ir 192.22 Ir.upf
CELL_PARAMETERS angstrom
8.204 -0.038 -0.023
7.324 3.696 -0.023
7.324 1.725 3.268
ATOMIC_POSITIONS crystal
Hg 0.239 0.239 0.239
Hg 0.997 0.997 0.997
Y 0.765 0.765 0.765
Ir 0.500 0.500 0.500
```

Electronic total energy (Ry/atom): -0.2985
DFT formation energy (eV per atom): -0.08
Calculated density (g/cm³): 11.26
Distance to the lowest polymorph of the same formula (eV/atom): 0.182
Total magnetization (μB per cell): 0.0

---

17.
YPt2Rh: relaxed, GGA-PBE. Values from VASP.

The structure in Quantum ESPRESSO input format:
```
&SYSTEM
  ibrav = 0, nat = 8, ntyp = 3
/
ATOMIC_SPECIES
Y 88.91 Y.upf
Pt 195.08 Pt.upf
Rh 102.91 Rh.upf
CELL_PARAMETERS angstrom
-3.940 -0.154 0.352
-0.334 -0.414 -3.923
-1.676 -9.881 -0.811
ATOMIC_POSITIONS crystal
Y 0.250 0.750 0.500
Y 0.500 0.500 0.000
Pt 0.375 0.354 0.750
Pt 0.646 0.125 0.250
Pt 0.104 0.625 0.250
Pt 0.875 0.896 0.750
Rh 0.000 0.000 0.000
Rh 0.750 0.250 0.500
```

Electronic total energy (Ry/atom): -0.5089
DFT formation energy (eV per atom): -0.45
Calculated density (g/cm³): 12.77
Distance to the lowest polymorph of the same formula (eV/atom): 0.375
Total magnetization (μB per cell): 0.0

---

18.
SrLiAg: relaxed, GGA-PBE. Values from VASP.

The structure in Quantum ESPRESSO input format:
```
&SYSTEM
  ibrav = 0, nat = 6, ntyp = 3
/
ATOMIC_SPECIES
Ag 107.87 Ag.upf
Sr 87.62 Sr.upf
Li 6.94 Li.upf
CELL_PARAMETERS angstrom
-2.978 3.104 -1.457
1.051 -1.011 -4.301
-5.751 -5.563 -0.098
ATOMIC_POSITIONS crystal
Ag 0.250 0.250 0.215
Ag 0.750 0.750 0.785
Sr 0.750 0.750 0.339
Sr 0.250 0.250 0.661
Li 0.250 0.750 0.000
Li 0.750 0.250 0.000
```

Electronic total energy (Ry/atom): -0.1743
DFT formation energy (eV per atom): -0.22
Calculated density (g/cm³): 4.07
Distance to the lowest polymorph of the same formula (eV/atom): 0.000
Total magnetization (μB per cell): 0.0

---

19.
BaCdSnPd2: relaxed, GGA-PBE. Values from VASP.

The structure in Quantum ESPRESSO input format:
```
&SYSTEM
  ibrav = 0, nat = 5, ntyp = 4
/
ATOMIC_SPECIES
Sn 118.71 Sn.upf
Pd 106.42 Pd.upf
Ba 137.33 Ba.upf
Cd 112.41 Cd.upf
CELL_PARAMETERS angstrom
4.641 0.000 0.000
0.000 4.641 0.000
-2.321 -2.321 5.816
ATOMIC_POSITIONS crystal
Sn 0.750 0.250 0.500
Pd 0.380 0.380 0.760
Pd 0.620 0.620 0.240
Ba 0.000 0.000 0.000
Cd 0.250 0.750 0.500
```

Electronic total energy (Ry/atom): -0.2932
DFT formation energy (eV per atom): -0.54
Calculated density (g/cm³): 7.70
Distance to the lowest polymorph of the same formula (eV/atom): 0.000
Total magnetization (μB per cell): 0.0

---

20.
TiCuAg3: relaxed, GGA-PBE. Values from VASP.

The structure in Quantum ESPRESSO input format:
```
&SYSTEM
  ibrav = 0, nat = 5, ntyp = 3
/
ATOMIC_SPECIES
Ag 107.87 Ag.upf
Cu 63.55 Cu.upf
Ti 47.87 Ti.upf
CELL_PARAMETERS angstrom
5.004 0.000 0.000
0.000 5.004 0.000
0.000 0.000 5.004
ATOMIC_POSITIONS crystal
Ag 0.500 0.000 0.000
Ag 0.000 0.000 0.500
Ag 0.000 0.500 0.000
Cu 0.500 0.500 0.500
Ti 0.000 0.000 0.000
```

Electronic total energy (Ry/atom): -0.2052
DFT formation energy (eV per atom): 1.32
Calculated density (g/cm³): 5.76
Total magnetization (μB per cell): 1.5